PBE Tl4SnS4, optimized geometry; energy above the most stable polymorph in this dataset = 0.18 eV per formula unit; uncorrected formation energy = -389 meV/atom; E = -3.72 eV per atom
1.0
7.186 -1.970 0.000
7.186 1.970 0.000
-5.843 0.000 8.965
Tl Sn S
4 1 4
Direct
0.084 0.084 0.389 Tl
0.306 0.306 0.230 Tl
0.694 0.694 0.770 Tl
0.916 0.916 0.611 Tl
0.500 0.500 0.000 Sn
0.094 0.094 0.939 S
0.334 0.334 0.728 S
0.666 0.666 0.272 S
0.906 0.906 0.061 S